Entry from Alexandria via LeMat-Bulk: a relaxed structure of CuNiPd5 (PBE).

Properties
For the volume, the calculation gives 15.24 A^3/atom. Its formation enthalpy at 0 K is 0.117 eV/atom.

```
data_CuNiPd5
_chemical_formula_sum 'Cu1 Ni1 Pd5'
_symmetry_space_group_name_H-M 'P 4/m m m'
_symmetry_Int_Tables_number 123
_symmetry_space_group_name_Hall '-P 4 2'
_cell_length_a 3.9273
_cell_length_b 3.9273
_cell_length_c 6.9187
_cell_angle_alpha 90.00
_cell_angle_beta 90.00
_cell_angle_gamma 90.00
loop_
_atom_site_label
_atom_site_type_symbol
_atom_site_fract_x
_atom_site_fract_y
_atom_site_fract_z
Cu1 Cu 0.0000 0.0000 0.0000
Ni1 Ni 0.5000 0.5000 0.5000
Pd1 Pd 0.0000 0.5000 0.2770
Pd2 Pd 0.5000 0.5000 0.0000
```

=====

Entry from Alexandria via LeMat-Bulk: a relaxed structure of Rb2CrCoAu (PBE).

Properties
For the volume, the calculation gives 37.86 A^3/atom. Its formation enthalpy at 0 K is 0.860 eV/atom.

```
data_Rb2CrCoAu
_chemical_formula_sum 'Rb2 Cr1 Co1 Au1'
_symmetry_space_group_name_H-M 'P 4/m m m'
_symmetry_Int_Tables_number 123
_symmetry_space_group_name_Hall '-P 4 2'
_cell_length_a 6.4144
_cell_length_b 6.4144
_cell_length_c 4.6008
_cell_angle_alpha 90.00
_cell_angle_beta 90.00
_cell_angle_gamma 90.00
loop_
_atom_site_label
_atom_site_type_symbol
_atom_site_fract_x
_atom_site_fract_y
_atom_site_fract_z
Rb1 Rb 0.0000 0.5000 0.0000
Cr1 Cr 0.0000 0.0000 0.5000
Co1 Co 0.0000 0.0000 0.0000
Au1 Au 0.5000 0.5000 0.5000
```

=====

Entry from Alexandria via LeMat-Bulk: a relaxed structure of La2MgP2 (PBE).

Properties
For the volume, the calculation gives 24.28 A^3/atom. Its formation enthalpy at 0 K is -1.169 eV/atom.

```
data_La2MgP2
_chemical_formula_sum 'La4 Mg2 P4'
_symmetry_space_group_name_H-M 'P 4/m b m'
_symmetry_Int_Tables_number 127
_symmetry_space_group_name_Hall '-P 4 2ab'
_cell_length_a 7.7691
_cell_length_b 7.7691
_cell_length_c 4.0223
_cell_angle_alpha 90.00
_cell_angle_beta 90.00
_cell_angle_gamma 90.00
loop_
_atom_site_label
_atom_site_type_symbol
_atom_site_fract_x
_atom_site_fract_y
_atom_site_fract_z
La1 La 0.1515 0.3485 0.0000
Mg1 Mg 0.0000 0.0000 0.5000
P1 P 0.1592 0.6592 0.5000
```